[1]
VASP calculation (PBE-GGA) on crystalline NaGa2Ru2 at its relaxed geometry.

The structure in CIF format:
```
data_NaGa2Ru2
_chemical_formula_sum 'Na2 Ga4 Ru4'
_cell_length_a 7.643
_cell_length_b 7.643
_cell_length_c 2.747
_cell_angle_alpha 90.00
_cell_angle_beta 90.00
_cell_angle_gamma 90.00
_space_group_name_H-M_alt 'P 1'
_space_group_IT_number 1
loop_
_space_group_symop_operation_xyz
'x,y,z'
loop_
_atom_site_label
_atom_site_type_symbol
_atom_site_fract_x
_atom_site_fract_y
_atom_site_fract_z
Ru1 Ru 0.372 0.872 0.000
Ru2 Ru 0.872 0.628 0.000
Ru3 Ru 0.628 0.128 0.000
Ru4 Ru 0.128 0.372 0.000
Ga1 Ga 0.166 0.666 0.500
Ga2 Ga 0.666 0.834 0.500
Ga3 Ga 0.834 0.334 0.500
Ga4 Ga 0.334 0.166 0.500
Na1 Na 0.000 0.000 0.000
Na2 Na 0.500 0.500 0.000
```

Properties
**Theoretical density**: 7.545 g/cm3
**Formation enthalpy at 0 K**: -32 kJ/mol of formula units
**Total energy**: -5.251 eV/atom
**Size of the total moment**: 0.00 μB/cell
**Energy above the most stable polymorph in this dataset**: 0 meV/atom



[2]
VASP calculation (PBE-GGA) on crystalline Tm2GaNi3Ge4 at its relaxed geometry.

The structure in CIF format:
```
data_Tm2GaNi3Ge4
_chemical_formula_sum 'Tm2 Ga1 Ni3 Ge4'
_cell_length_a 4.000
_cell_length_b 4.000
_cell_length_c 10.282
_cell_angle_alpha 90.00
_cell_angle_beta 90.00
_cell_angle_gamma 90.00
_space_group_name_H-M_alt 'P 1'
_space_group_IT_number 1
loop_
_space_group_symop_operation_xyz
'x,y,z'
loop_
_atom_site_label
_atom_site_type_symbol
_atom_site_fract_x
_atom_site_fract_y
_atom_site_fract_z
Tm1 Tm 0.500 0.000 0.241
Tm2 Tm 0.000 0.500 0.759
Ga1 Ga 0.500 0.500 0.500
Ni1 Ni 0.000 0.000 0.500
Ni2 Ni 0.500 0.000 0.872
Ni3 Ni 0.000 0.500 0.128
Ge1 Ge 0.500 0.500 0.000
Ge2 Ge 0.000 0.000 0.000
Ge3 Ge 0.500 0.000 0.649
Ge4 Ge 0.000 0.500 0.351
```

Properties
**Theoretical density**: 8.826 g/cm3
**Formation enthalpy at 0 K**: -579 kJ/mol of formula units
**Total energy**: -5.378 eV/atom
**Size of the total moment**: 0.00 μB/cell



[3]
VASP calculation (PBE-GGA) on crystalline Nb6InC at its relaxed geometry.

The structure in CIF format:
```
data_Nb6InC
_chemical_formula_sum 'Nb6 In1 C1'
_cell_length_a 5.474
_cell_length_b 4.938
_cell_length_c 6.631
_cell_angle_alpha 54.53
_cell_angle_beta 74.36
_cell_angle_gamma 79.11
_space_group_name_H-M_alt 'P 1'
_space_group_IT_number 1
loop_
_space_group_symop_operation_xyz
'x,y,z'
loop_
_atom_site_label
_atom_site_type_symbol
_atom_site_fract_x
_atom_site_fract_y
_atom_site_fract_z
Nb1 Nb 0.930 0.519 0.705
Nb2 Nb 0.701 0.839 0.934
Nb3 Nb 0.739 0.113 0.268
Nb4 Nb 0.299 0.161 0.066
Nb5 Nb 0.070 0.481 0.295
Nb6 Nb 0.261 0.887 0.732
In1 In 0.500 0.500 0.500
C1 C 0.000 0.000 0.000
```

Properties
**Theoretical density**: 8.091 g/cm3
**Formation enthalpy at 0 K**: -20 kJ/mol of formula units
**Total energy**: -9.074 eV/atom
**Size of the total moment**: 0.00 μB/cell



[4]
VASP calculation (PBE-GGA) on crystalline PuAsO6 at its relaxed geometry.

The structure in CIF format:
```
data_PuAsO6
_chemical_formula_sum 'Pu1 As1 O6'
_cell_length_a 5.225
_cell_length_b 5.225
_cell_length_c 5.381
_cell_angle_alpha 60.95
_cell_angle_beta 60.95
_cell_angle_gamma 60.00
_space_group_name_H-M_alt 'P 1'
_space_group_IT_number 1
loop_
_space_group_symop_operation_xyz
'x,y,z'
loop_
_atom_site_label
_atom_site_type_symbol
_atom_site_fract_x
_atom_site_fract_y
_atom_site_fract_z
Pu1 Pu 0.500 0.500 0.500
As1 As 0.000 0.000 0.000
O1 O 0.147 0.330 0.761
O2 O 0.761 0.148 0.761
O3 O 0.670 0.238 0.239
O4 O 0.239 0.852 0.239
O5 O 0.853 0.670 0.239
O6 O 0.330 0.762 0.761
```

Properties
**Theoretical density**: 6.540 g/cm3
**Total energy**: -7.699 eV/atom
**Size of the total moment**: 0.98 μB/cell



[5]
VASP calculation (PBE-GGA) on crystalline Ta3GeH at its relaxed geometry.

The structure in CIF format:
```
data_Ta3GeH
_chemical_formula_sum 'Ta6 Ge2 H2'
_cell_length_a 3.362
_cell_length_b 6.481
_cell_length_c 7.279
_cell_angle_alpha 86.98
_cell_angle_beta 90.00
_cell_angle_gamma 105.03
_space_group_name_H-M_alt 'P 1'
_space_group_IT_number 1
loop_
_space_group_symop_operation_xyz
'x,y,z'
loop_
_atom_site_label
_atom_site_type_symbol
_atom_site_fract_x
_atom_site_fract_y
_atom_site_fract_z
Ta1 Ta 0.033 0.066 0.187
Ta2 Ta 0.967 0.934 0.813
Ta3 Ta 0.671 0.342 0.873
Ta4 Ta 0.329 0.658 0.127
Ta5 Ta 0.866 0.732 0.458
Ta6 Ta 0.134 0.268 0.542
Ge1 Ge 0.317 0.634 0.737
Ge2 Ge 0.683 0.366 0.263
H1 H 0.096 0.192 0.942
H2 H 0.904 0.808 0.058
```

Properties
**Theoretical density**: 13.389 g/cm3
**Total energy**: -8.690 eV/atom
**Size of the total moment**: 0.00 μB/cell
**Energy above the most stable polymorph in this dataset**: 109 meV/atom



[6]
VASP calculation (PBE-GGA) on crystalline Si2RuPbI at its relaxed geometry.

The structure in CIF format:
```
data_Si2RuPbI
_chemical_formula_sum 'Si2 Ru1 Pb1 I1'
_cell_length_a 5.243
_cell_length_b 5.848
_cell_length_c 5.243
_cell_angle_alpha 90.00
_cell_angle_beta 90.00
_cell_angle_gamma 90.00
_space_group_name_H-M_alt 'P 1'
_space_group_IT_number 1
loop_
_space_group_symop_operation_xyz
'x,y,z'
loop_
_atom_site_label
_atom_site_type_symbol
_atom_site_fract_x
_atom_site_fract_y
_atom_site_fract_z
Pb1 Pb 0.000 0.500 0.000
I1 I 0.000 0.000 0.000
Si1 Si 0.000 0.000 0.500
Si2 Si 0.500 0.000 0.000
Ru1 Ru 0.500 0.500 0.500
```

Properties
**Theoretical density**: 5.075 g/cm3
**Total energy**: -3.039 eV/atom
**Size of the total moment**: 2.41 μB/cell